# Sr2AlNi (PBEsol, optimized geometry)
data_Sr2AlNi
_chemical_formula_sum 'Sr4 Al2 Ni2'
_cell_length_a 4.232
_cell_length_b 4.728
_cell_length_c 11.400
_cell_angle_alpha 90.00
_cell_angle_beta 90.00
_cell_angle_gamma 90.00
_space_group_name_H-M_alt 'A m m 2'
_space_group_IT_number 38
_space_group_name_Hall 'A 2 -2'
loop_
_atom_site_label
_atom_site_type_symbol
_atom_site_fract_x
_atom_site_fract_y
_atom_site_fract_z
_atom_site_occupancy
Sr1 Sr 0.000 0.000 0.000 1
Sr2 Sr 0.500 0.000 0.287 1
Al1 Al 0.000 0.000 0.691 1
Ni1 Ni 0.500 0.000 0.598 1
# Final energy ... -3.5752 eV per atom
# Formation energy ... -0.09 eV/atom